The following is a DFT calculation (PBE with a Hubbard U) of a relaxed Rb2NiNF6 crystal.

```
10
Lattice="-2.7741 2.7741 4.9680 2.7741 -2.7741 4.9680 2.7741 2.7741 -4.9680" Properties=species:S:1:pos:R:3 pbc="T T T"
Rb 2.7741 0.0000 2.4840
Rb 0.0000 2.7741 2.4840
Ni 0.0000 0.0000 0.0000
N 0.0000 0.0000 4.9680
F 0.0000 0.0000 1.9190
F 1.4951 1.4951 0.0000
F 1.2790 -1.2790 4.9680
F -1.2790 1.2790 4.9680
F 1.2790 1.2790 4.9680
F 0.0000 0.0000 8.0170
```

Summary:
VASP energy: -39.58 eV per formula unit